[1]
# RhBr3 meta-GGA SCAN single point on PBEsol structure
data_RhBr3
_chemical_formula_sum 'Rh2 Br6'
_cell_length_a 3.519
_cell_length_b 6.008
_cell_length_c 9.443
_cell_angle_alpha 90.00
_cell_angle_beta 90.00
_cell_angle_gamma 90.00
_space_group_name_H-M_alt 'C m m m'
_space_group_IT_number 65
_space_group_name_Hall '-C 2 2'
loop_
_atom_site_label
_atom_site_type_symbol
_atom_site_fract_x
_atom_site_fract_y
_atom_site_fract_z
Rh1 Rh 0.000 0.000 0.000
Br1 Br 0.000 0.000 0.500
Br2 Br 0.000 0.500 0.177
# Total moment = 3.91 Bohr magnetons per cell
# VASP energy = -183.48 eV per cell

***

[2]
# Li2YAu2 meta-GGA SCAN single point on PBEsol structure
data_Li2YAu2
_chemical_formula_sum 'Li4 Y2 Au4'
_cell_length_a 7.432
_cell_length_b 7.432
_cell_length_c 3.117
_cell_angle_alpha 90.00
_cell_angle_beta 90.00
_cell_angle_gamma 90.00
_space_group_name_H-M_alt 'P 4/m b m'
_space_group_IT_number 127
_space_group_name_Hall '-P 4 2ab'
loop_
_atom_site_label
_atom_site_type_symbol
_atom_site_fract_x
_atom_site_fract_y
_atom_site_fract_z
Li1 Li 0.112 0.388 0.000
Y1 Y 0.000 0.000 0.000
Au1 Au 0.186 0.686 0.500
# Energy relative to the elements = -689.0 meV per atom
# Total moment = 0.00 Bohr magnetons per cell
# Offset from the most stable computed form = 0.473 eV per formula unit

***

[3]
# TlCr2Si meta-GGA SCAN single point on PBEsol structure
data_TlCr2Si
_chemical_formula_sum 'Tl2 Cr4 Si2'
_cell_length_a 6.712
_cell_length_b 2.911
_cell_length_c 6.935
_cell_angle_alpha 90.00
_cell_angle_beta 102.04
_cell_angle_gamma 90.00
_space_group_name_H-M_alt 'C 1 2/m 1'
_space_group_IT_number 12
loop_
_space_group_symop_operation_xyz
'x,y,z'
'-x,-y,-z'
'-x,y,-z'
'x,-y,z'
'x+1/2,y+1/2,z'
'-x+1/2,-y+1/2,-z'
'-x+1/2,y+1/2,-z'
'x+1/2,-y+1/2,z'
loop_
_atom_site_label
_atom_site_type_symbol
_atom_site_fract_x
_atom_site_fract_y
_atom_site_fract_z
Tl1 Tl 0.000 0.000 0.000
Cr1 Cr 0.250 0.000 0.691
Si1 Si 0.000 0.500 0.500
# Total moment = 12.18 Bohr magnetons per cell
# VASP energy = -235.66 eV per cell

***

[4]
# Tb2H16S3O20 meta-GGA SCAN single point on PBEsol structure
data_Tb2H16S3O20
_chemical_formula_sum 'Tb8 H64 S12 O80'
_cell_length_a 13.194
_cell_length_b 6.696
_cell_length_c 17.965
_cell_angle_alpha 90.00
_cell_angle_beta 102.52
_cell_angle_gamma 90.00
_space_group_name_H-M_alt 'C 1 2/c 1'
_space_group_IT_number 15
loop_
_space_group_symop_operation_xyz
'x,y,z'
'-x,-y,-z'
'-x,y,-z+1/2'
'x,-y,z+1/2'
'x+1/2,y+1/2,z'
'-x+1/2,-y+1/2,-z'
'-x+1/2,y+1/2,-z+1/2'
'x+1/2,-y+1/2,z+1/2'
loop_
_atom_site_label
_atom_site_type_symbol
_atom_site_fract_x
_atom_site_fract_y
_atom_site_fract_z
Tb1 Tb 0.170 0.026 0.394
H1 H 0.008 0.291 0.838
H2 H 0.009 0.334 0.394
H3 H 0.012 0.181 0.043
H4 H 0.054 0.087 0.652
H5 H 0.120 0.412 0.504
H6 H 0.142 0.351 0.015
H7 H 0.166 0.472 0.197
H8 H 0.226 0.026 0.245
S1 S 0.000 0.335 0.250
S2 S 0.214 0.034 0.090
O1 O 0.017 0.150 0.856
O2 O 0.033 0.463 0.191
O3 O 0.044 0.247 0.437
O4 O 0.088 0.210 0.288
O5 O 0.136 0.087 0.017
O6 O 0.157 0.484 0.040
O7 O 0.159 0.040 0.154
O8 O 0.201 0.319 0.897
O9 O 0.241 0.499 0.201
O10 O 0.246 0.334 0.420
# Total moment = 0.00 Bohr magnetons per cell
# VASP energy = -1478.23 eV per cell

***

[5]
# CrMoRh2 meta-GGA SCAN single point on PBEsol structure
data_CrMoRh2
_chemical_formula_sum 'Cr3 Mo3 Rh6'
_cell_length_a 2.6646
_cell_length_b 2.6646
_cell_length_c 26.3773
_cell_angle_alpha 90.00
_cell_angle_beta 90.00
_cell_angle_gamma 120.00
_space_group_name_H-M_alt 'R 3 m'
_space_group_IT_number 160
_space_group_name_Hall 'R 3 -2"'
loop_
_atom_site_label
_atom_site_type_symbol
_atom_site_fract_x
_atom_site_fract_y
_atom_site_fract_z
Cr1 Cr 0.0000 0.0000 0.0000
Mo1 Mo 0.0000 0.0000 0.7542
Rh1 Rh 0.0000 0.0000 0.2588
Rh2 Rh 0.0000 0.0000 0.5036
# Energy relative to the elements = 73.9 meV per atom
# Total moment = 0.00 Bohr magnetons per cell
# Offset from the most stable computed form = 0.980 eV per formula unit

***

[6]
# Sr2ZnTe meta-GGA SCAN single point on PBEsol structure
data_Sr2ZnTe
_chemical_formula_sum 'Sr2 Zn1 Te1'
_cell_length_a 4.627
_cell_length_b 4.627
_cell_length_c 6.565
_cell_angle_alpha 90.00
_cell_angle_beta 90.00
_cell_angle_gamma 90.00
_space_group_name_H-M_alt 'P 4/m m m'
_space_group_IT_number 123
_space_group_name_Hall '-P 4 2'
loop_
_atom_site_label
_atom_site_type_symbol
_atom_site_fract_x
_atom_site_fract_y
_atom_site_fract_z
Sr1 Sr 0.000 0.000 0.000
Sr2 Sr 0.500 0.500 0.500
Zn1 Zn 0.000 0.000 0.500
Te1 Te 0.500 0.500 0.000
# Total moment = 0.83 Bohr magnetons per cell
# Offset from the most stable computed form = 0.149 eV per formula unit

***

[7]
# NaTiBe2Pt meta-GGA SCAN single point on PBEsol structure
data_NaTiBe2Pt
_chemical_formula_sum 'Na1 Ti1 Be2 Pt1'
_cell_length_a 4.412
_cell_length_b 4.412
_cell_length_c 4.797
_cell_angle_alpha 90.00
_cell_angle_beta 90.00
_cell_angle_gamma 90.00
_space_group_name_H-M_alt 'P 4/m m m'
_space_group_IT_number 123
_space_group_name_Hall '-P 4 2'
loop_
_atom_site_label
_atom_site_type_symbol
_atom_site_fract_x
_atom_site_fract_y
_atom_site_fract_z
Na1 Na 0.000 0.000 0.000
Ti1 Ti 0.500 0.500 0.000
Be1 Be 0.000 0.500 0.500
Pt1 Pt 0.500 0.500 0.500
# Energy relative to the elements = 47.7 meV per atom
# Total moment = 1.71 Bohr magnetons per cell

***

[8]
# SrFe5Bi4O15 meta-GGA SCAN single point on PBEsol structure
data_SrFe5Bi4O15
_chemical_formula_sum 'Sr1 Fe5 Bi4 O15'
_cell_length_a 5.471
_cell_length_b 6.638
_cell_length_c 8.530
_cell_angle_alpha 104.82
_cell_angle_beta 108.64
_cell_angle_gamma 90.19
_space_group_name_H-M_alt 'P 1'
_space_group_IT_number 1
loop_
_space_group_symop_operation_xyz
'x,y,z'
loop_
_atom_site_label
_atom_site_type_symbol
_atom_site_fract_x
_atom_site_fract_y
_atom_site_fract_z
Sr1 Sr 0.000 0.000 0.000
Fe1 Fe 0.195 0.296 0.398
Fe2 Fe 0.391 0.092 0.804
Fe3 Fe 0.585 0.903 0.194
Fe4 Fe 0.789 0.703 0.601
Fe5 Fe 0.999 0.501 0.999
Bi1 Bi 0.258 0.810 0.410
Bi2 Bi 0.442 0.566 0.800
Bi3 Bi 0.649 0.429 0.206
Bi4 Bi 0.850 0.186 0.591
O1 O 0.063 0.394 0.199
O2 O 0.083 0.898 0.677
O3 O 0.171 0.292 0.890
O4 O 0.278 0.222 0.611
O5 O 0.279 0.709 0.107
O6 O 0.406 0.097 0.315
O7 O 0.456 0.530 0.517
O8 O 0.497 0.996 0.999
O9 O 0.592 0.921 0.681
O10 O 0.663 0.771 0.386
O11 O 0.672 0.313 0.902
O12 O 0.763 0.683 0.096
O13 O 0.860 0.610 0.801
O14 O 0.902 0.080 0.313
O15 O 0.936 0.475 0.487
# Total moment = 16.54 Bohr magnetons per cell
# VASP energy = -558.21 eV per cell